# 1
{"formula": "SrTcPb", "functional": "GGA-PBEsol", "state": "optimized geometry", "cell": [[0.000, 3.385, 3.385], [3.385, 0.000, 3.385], [3.385, 3.385, 0.000]], "species": ["Sr", "Tc", "Pb"], "fractional_positions": [[0.000, 0.000, 0.000], [0.750, 0.750, 0.750], [0.500, 0.500, 0.500]], "polymorph_energy_ev_per_atom": 0.214, "e_form_mev_per_atom": 721, "spacegroup": "F-43m"}

---

# 2
{"formula": "NdGe2Ir2", "functional": "GGA-PBEsol", "state": "optimized geometry", "cell": [[4.229, 0.000, 0.000], [0.000, 4.229, 0.000], [0.000, 0.000, 10.053]], "species": ["Nd", "Nd", "Ge", "Ge", "Ge", "Ge", "Ir", "Ir", "Ir", "Ir"], "fractional_positions": [[0.250, 0.250, 0.246], [0.750, 0.750, 0.754], [0.250, 0.250, 0.632], [0.250, 0.750, 0.000], [0.750, 0.250, 0.000], [0.750, 0.750, 0.368], [0.250, 0.250, 0.872], [0.250, 0.750, 0.500], [0.750, 0.250, 0.500], [0.750, 0.750, 0.128]], "e_form_mev_per_atom": -794, "spacegroup": "P4/nmm"}

---

# 3
{"formula": "CaLaTe2", "functional": "GGA-PBEsol", "state": "optimized geometry", "cell": [[3.872, 0.000, 0.000], [0.000, 3.872, 0.000], [-0.228, 0.000, 7.737]], "species": ["Ca", "La", "Te", "Te"], "fractional_positions": [[0.000, 0.000, 0.000], [0.000, 0.000, 0.500], [0.489, 0.500, 0.251], [0.511, 0.500, 0.749]], "polymorph_energy_ev_per_atom": 0.153, "raw_formation_energy_ev_per_fu": -5.78, "spacegroup": "P2/m"}

---

# 4
{"formula": "MnSI2", "functional": "GGA-PBEsol", "state": "optimized geometry", "cell": [[-3.877, 3.877, 3.704], [3.877, -3.877, 3.704], [3.877, 3.877, -3.704]], "species": ["Mn", "Mn", "S", "S", "I", "I", "I", "I"], "fractional_positions": [[0.000, 0.000, 0.000], [0.750, 0.250, 0.500], [0.250, 0.750, 0.500], [0.500, 0.500, 0.000], [0.081, 0.625, 0.956], [0.375, 0.331, 0.456], [0.669, 0.125, 0.044], [0.875, 0.919, 0.544]], "raw_formation_energy_ev_per_fu": 1.71, "spacegroup": "I-42d"}

---

# 5
{"formula": "HPdPt2", "functional": "GGA-PBEsol", "state": "optimized geometry", "cell": [[0.000, 2.967, 2.967], [2.967, 0.000, 2.967], [2.967, 2.967, 0.000]], "species": ["H", "Pd", "Pt", "Pt"], "fractional_positions": [[0.000, 0.000, 0.000], [0.500, 0.500, 0.500], [0.250, 0.250, 0.250], [0.750, 0.750, 0.750]], "dft_energy_ev_per_atom": -5.216, "spacegroup": "Fm-3m"}

---

# 6
{"formula": "Eu2Ni12P5", "functional": "GGA-PBEsol", "state": "optimized geometry", "cell": [[10.727, 0.000, 0.000], [0.000, 3.591, 0.000], [-4.000, 0.000, 12.379]], "species": ["Eu", "Eu", "Eu", "Eu", "Ni", "Ni", "Ni", "Ni", "Ni", "Ni", "Ni", "Ni", "Ni", "Ni", "Ni", "Ni", "Ni", "Ni", "Ni", "Ni", "Ni", "Ni", "Ni", "Ni", "Ni", "Ni", "Ni", "Ni", "P", "P", "P", "P", "P", "P", "P", "P", "P", "P"], "fractional_positions": [[0.219, 0.250, 0.182], [0.254, 0.250, 0.688], [0.746, 0.750, 0.312], [0.781, 0.750, 0.818], [0.064, 0.750, 0.297], [0.079, 0.750, 0.991], [0.081, 0.750, 0.490], [0.094, 0.750, 0.805], [0.202, 0.250, 0.418], [0.213, 0.250, 0.939], [0.342, 0.750, 0.060], [0.342, 0.750, 0.365], [0.429, 0.250, 0.515], [0.435, 0.250, 0.949], [0.493, 0.750, 0.652], [0.496, 0.750, 0.842], [0.504, 0.250, 0.158], [0.507, 0.250, 0.348], [0.565, 0.750, 0.051], [0.571, 0.750, 0.485], [0.658, 0.250, 0.635], [0.658, 0.250, 0.940], [0.787, 0.750, 0.061], [0.798, 0.750, 0.582], [0.906, 0.250, 0.195], [0.919, 0.250, 0.510], [0.921, 0.250, 0.009], [0.936, 0.250, 0.703], [0.005, 0.250, 0.878], [0.010, 0.750, 0.629], [0.301, 0.750, 0.519], [0.311, 0.750, 0.885], [0.448, 0.750, 0.239], [0.552, 0.250, 0.761], [0.689, 0.250, 0.115], [0.699, 0.250, 0.481], [0.990, 0.250, 0.371], [0.995, 0.750, 0.122]], "e_form_mev_per_atom": -703, "spacegroup": "P2_1/m"}